# ReBS2N

ReBS2N at its PBEsol-relaxed geometry (SCAN, the Alexandria database).

Cell lengths 4.5765, 4.5765, 2.7549 Å; angles 90.00, 90.00, 90.00 degrees
Sites, in units of the cell vectors:
Re 0.0000 0.0000 0.0000
B 0.5000 0.5000 0.5000
S 0.0000 0.5000 0.5000
S 0.5000 0.0000 0.5000
N 0.5000 0.5000 0.0000

Computed properties:
* SG: P4/mmm (123)
* formation energy from raw total energies: 869 meV per atom
* crystal system: tetragonal

***

# CaScTeN2

CaScTeN2 at its PBEsol-relaxed geometry (SCAN, the Alexandria database).

Cell lengths 4.2743, 4.2743, 5.6397 Å; angles 90.00, 90.00, 90.00 degrees
Sites, in units of the cell vectors:
Ca 0.0000 0.0000 0.0000
Sc 0.5000 0.5000 0.5000
Te 0.5000 0.5000 0.0000
N 0.0000 0.5000 0.5000
N 0.5000 0.0000 0.5000

Computed properties:
* SG: P4/mmm (123)
* formation energy from raw total energies: -263 meV per atom
* crystal system: tetragonal

***

no.,density (g/cm3)
1,7.919
2,3.878